Model one:
DFT (PBE) results for crystalline AlAg2Sb at its relaxed geometry.

Values from the calculation:
Calculated volume, Å³/cell: 84.4
SG: No. 10

a b c (Å): 3.022 4.443 6.365
angles (deg): 90.00 98.98 90.00
Atoms (fractional coordinates):
Al 0.000 0.000 0.000
Ag 0.215 0.500 0.800
Ag 0.785 0.500 0.200
Sb 0.000 0.000 0.500

---

Model two:
DFT (PBE) results for crystalline AlAg2Sb at its relaxed geometry.

Values from the calculation:
Calculated volume, Å³/cell: 80.7
SG: No. 139

a b c (Å): 5.356 5.356 5.356
angles (deg): 133.02 133.02 68.62
Atoms (fractional coordinates):
Al 0.000 0.000 0.000
Ag 0.250 0.750 0.500
Ag 0.750 0.250 0.500
Sb 0.500 0.500 0.000

---

Relative to the most stable structure, the computed energies are model one 0; model two 14, all in meV/atom.